#a
The following is a GGA-PBEsol calculation of a relaxed structure of KCrFe2, from Alexandria.

## Properties
Total moment, μB per atom: 0.510
SG: P4/mmm, No. 123

```
data_KCrFe2
_space_group_name_H-M_alt 'P 1'
_space_group_IT_number 1
_space_group_name_Hall 'P 1'
_cell_length_a 2.7075
_cell_length_b 4.7984
_cell_length_c 4.7984
_cell_angle_alpha 90.00
_cell_angle_beta 90.00
_cell_angle_gamma 90.00
loop_
_atom_site_label
_atom_site_type_symbol
_atom_site_fract_x
_atom_site_fract_y
_atom_site_fract_z
Fe1 Fe 0.0000 0.0000 0.5000
Fe2 Fe 0.0000 0.5000 0.0000
K1 K 0.5000 0.5000 0.5000
Cr1 Cr 0.5000 0.0000 0.0000
```

#b
The following is a GGA-PBEsol calculation of a relaxed structure of KCrFe2, from Alexandria.

## Properties
Total moment, μB per atom: 0.579
SG: C2/m, No. 12

```
data_KCrFe2
_space_group_name_H-M_alt 'P 1'
_space_group_IT_number 1
_space_group_name_Hall 'P 1'
_cell_length_a 2.7737
_cell_length_b 4.3073
_cell_length_c 6.8162
_cell_angle_alpha 96.47
_cell_angle_beta 90.00
_cell_angle_gamma 108.78
loop_
_atom_site_label
_atom_site_type_symbol
_atom_site_fract_x
_atom_site_fract_y
_atom_site_fract_z
Cr1 Cr 0.5000 0.0000 0.0000
K1 K 0.0000 0.0000 0.5000
Fe1 Fe 0.2220 0.4441 0.1192
Fe2 Fe 0.7780 0.5559 0.8808
```

#b is the most stable structure; the next one sits 0.547 eV/atom above it.

#a
The following is a GGA-PBEsol calculation of a relaxed structure of LiCr2Fe, from Alexandria.

## Properties
Total moment, μB per atom: 0.333
SG: Pmmm, No. 47

```
data_LiCr2Fe
_space_group_name_H-M_alt 'P 1'
_space_group_IT_number 1
_space_group_name_Hall 'P 1'
_cell_length_a 2.3275
_cell_length_b 3.9803
_cell_length_c 4.6982
_cell_angle_alpha 90.00
_cell_angle_beta 90.00
_cell_angle_gamma 90.00
loop_
_atom_site_label
_atom_site_type_symbol
_atom_site_fract_x
_atom_site_fract_y
_atom_site_fract_z
Cr1 Cr 0.0000 0.0000 0.7518
Cr2 Cr 0.0000 0.0000 0.2482
Li1 Li 0.5000 0.5000 0.5000
Fe1 Fe 0.5000 0.5000 0.0000
```

#b
The following is a GGA-PBEsol calculation of a relaxed structure of LiCr2Fe, from Alexandria.

## Properties
Total moment, μB per atom: 0.000
SG: R-3m, No. 166

```
data_LiCr2Fe
_space_group_name_H-M_alt 'P 1'
_space_group_IT_number 1
_space_group_name_Hall 'P 1'
_cell_length_a 2.4639
_cell_length_b 2.4639
_cell_length_c 8.8412
_cell_angle_alpha 81.99
_cell_angle_beta 81.99
_cell_angle_gamma 60.00
loop_
_atom_site_label
_atom_site_type_symbol
_atom_site_fract_x
_atom_site_fract_y
_atom_site_fract_z
Li1 Li 0.0000 0.0000 0.0000
Cr1 Cr 0.7579 0.7579 0.7263
Cr2 Cr 0.2421 0.2421 0.2737
Fe1 Fe 0.5000 0.5000 0.5000
```

#b is the most stable structure; the next one sits 0.070 eV/atom above it.

#a
The following is a GGA-PBEsol calculation of a relaxed structure of MnCr2Fe, from Alexandria.

## Properties
Total moment, μB per atom: 0.647
SG: C2/m, No. 12

```
data_MnCr2Fe
_space_group_name_H-M_alt 'P 1'
_space_group_IT_number 1
_space_group_name_Hall 'P 1'
_cell_length_a 2.4001
_cell_length_b 4.6057
_cell_length_c 4.6057
_cell_angle_alpha 116.72
_cell_angle_beta 99.51
_cell_angle_gamma 99.51
loop_
_atom_site_label
_atom_site_type_symbol
_atom_site_fract_x
_atom_site_fract_y
_atom_site_fract_z
Mn1 Mn 0.5000 0.5000 0.5000
Fe1 Fe 0.5000 0.0000 0.0000
Cr1 Cr 0.0000 0.5000 0.0000
Cr2 Cr 0.0000 0.0000 0.5000
```

#b
The following is a GGA-PBEsol calculation of a relaxed structure of MnCr2Fe, from Alexandria.

## Properties
Total moment, μB per atom: 0.281
SG: I4/mmm, No. 139

```
data_MnCr2Fe
_space_group_name_H-M_alt 'P 1'
_space_group_IT_number 1
_space_group_name_Hall 'P 1'
_cell_length_a 3.5453
_cell_length_b 3.5453
_cell_length_c 4.2362
_cell_angle_alpha 114.74
_cell_angle_beta 114.74
_cell_angle_gamma 90.00
loop_
_atom_site_label
_atom_site_type_symbol
_atom_site_fract_x
_atom_site_fract_y
_atom_site_fract_z
Cr1 Cr 0.2500 0.7500 0.5000
Cr2 Cr 0.7500 0.2500 0.5000
Fe1 Fe 0.5000 0.5000 0.0000
Mn1 Mn 0.0000 0.0000 0.0000
```

#c
The following is a GGA-PBEsol calculation of a relaxed structure of MnCr2Fe, from Alexandria.

## Properties
Total moment, μB per atom: 0.175
SG: I-4m2, No. 119

```
data_MnCr2Fe
_space_group_name_H-M_alt 'P 1'
_space_group_IT_number 1
_space_group_name_Hall 'P 1'
_cell_length_a 3.4563
_cell_length_b 3.4563
_cell_length_c 4.3379
_cell_angle_alpha 113.48
_cell_angle_beta 113.48
_cell_angle_gamma 90.00
loop_
_atom_site_label
_atom_site_type_symbol
_atom_site_fract_x
_atom_site_fract_y
_atom_site_fract_z
Cr1 Cr 0.0000 0.0000 0.0000
Cr2 Cr 0.7500 0.2500 0.5000
Mn1 Mn 0.2500 0.7500 0.5000
Fe1 Fe 0.5000 0.5000 0.0000
```

#a is the most stable structure; the next one sits 0.066 eV/atom above it.

#a
The following is a GGA-PBEsol calculation of a relaxed structure of MnCr2Fe, from Alexandria.

## Properties
Total moment, μB per atom: 0.558
SG: Pm, No. 6

```
data_MnCr2Fe
_space_group_name_H-M_alt 'P 1'
_space_group_IT_number 1
_space_group_name_Hall 'P 1'
_cell_length_a 2.3845
_cell_length_b 3.9395
_cell_length_c 4.6530
_cell_angle_alpha 90.00
_cell_angle_beta 99.86
_cell_angle_gamma 90.00
loop_
_atom_site_label
_atom_site_type_symbol
_atom_site_fract_x
_atom_site_fract_y
_atom_site_fract_z
Cr1 Cr 0.7665 0.5000 0.2557
Cr2 Cr 0.9918 0.0000 0.9938
Mn1 Mn 0.2254 0.5000 0.7532
Fe1 Fe 0.5163 0.0000 0.4974
```

#b
The following is a GGA-PBEsol calculation of a relaxed structure of MnCr2Fe, from Alexandria.

## Properties
Total moment, μB per atom: 0.668
SG: Cmm2, No. 35

```
data_MnCr2Fe
_space_group_name_H-M_alt 'P 1'
_space_group_IT_number 1
_space_group_name_Hall 'P 1'
_cell_length_a 2.4080
_cell_length_b 2.4080
_cell_length_c 7.8821
_cell_angle_alpha 90.00
_cell_angle_beta 90.00
_cell_angle_gamma 108.69
loop_
_atom_site_label
_atom_site_type_symbol
_atom_site_fract_x
_atom_site_fract_y
_atom_site_fract_z
Cr1 Cr 0.0000 0.0000 0.0024
Cr2 Cr 0.5000 0.5000 0.7496
Fe1 Fe 0.0000 0.0000 0.4992
Mn1 Mn 0.5000 0.5000 0.2489
```

#b is the most stable structure; the next one sits 0.022 eV/atom above it.

#a
The following is a GGA-PBEsol calculation of a relaxed structure of Cr2FeMo, from Alexandria.

## Properties
Total moment, μB per atom: 0.130
SG: I-4m2, No. 119

```
data_Cr2FeMo
_space_group_name_H-M_alt 'P 1'
_space_group_IT_number 1
_space_group_name_Hall 'P 1'
_cell_length_a 3.5766
_cell_length_b 3.5766
_cell_length_c 4.5435
_cell_angle_alpha 113.18
_cell_angle_beta 113.18
_cell_angle_gamma 90.00
loop_
_atom_site_label
_atom_site_type_symbol
_atom_site_fract_x
_atom_site_fract_y
_atom_site_fract_z
Mo1 Mo 0.2500 0.7500 0.5000
Cr1 Cr 0.7500 0.2500 0.5000
Cr2 Cr 0.0000 0.0000 0.0000
Fe1 Fe 0.5000 0.5000 0.0000
```

#b
The following is a GGA-PBEsol calculation of a relaxed structure of Cr2FeMo, from Alexandria.

## Properties
Total moment, μB per atom: 0.538
SG: Fm-3m, No. 225

```
data_Cr2FeMo
_space_group_name_H-M_alt 'P 1'
_space_group_IT_number 1
_space_group_name_Hall 'P 1'
_cell_length_a 4.0911
_cell_length_b 4.0911
_cell_length_c 4.0911
_cell_angle_alpha 60.00
_cell_angle_beta 60.00
_cell_angle_gamma 60.00
loop_
_atom_site_label
_atom_site_type_symbol
_atom_site_fract_x
_atom_site_fract_y
_atom_site_fract_z
Cr1 Cr 0.2500 0.2500 0.2500
Cr2 Cr 0.7500 0.7500 0.7500
Fe1 Fe 0.0000 0.0000 0.0000
Mo1 Mo 0.5000 0.5000 0.5000
```

#c
The following is a GGA-PBEsol calculation of a relaxed structure of Cr2FeMo, from Alexandria.

## Properties
Total moment, μB per atom: 0.566
SG: P4/mmm, No. 123

```
data_Cr2FeMo
_space_group_name_H-M_alt 'P 1'
_space_group_IT_number 1
_space_group_name_Hall 'P 1'
_cell_length_a 2.9649
_cell_length_b 4.0470
_cell_length_c 4.0470
_cell_angle_alpha 90.00
_cell_angle_beta 90.00
_cell_angle_gamma 90.00
loop_
_atom_site_label
_atom_site_type_symbol
_atom_site_fract_x
_atom_site_fract_y
_atom_site_fract_z
Mo1 Mo 0.5000 0.0000 0.0000
Fe1 Fe 0.5000 0.5000 0.5000
Cr1 Cr 0.0000 0.0000 0.5000
Cr2 Cr 0.0000 0.5000 0.0000
```

#c is the most stable structure; the next one sits 0.009 eV/atom above it.

#a
The following is a GGA-PBEsol calculation of a relaxed structure of Cr2FeO4, from Alexandria.

## Properties
Total moment, μB per atom: 1.393
SG: Pnma, No. 62

```
data_Cr2FeO4
_space_group_name_H-M_alt 'P 1'
_space_group_IT_number 1
_space_group_name_Hall 'P 1'
_cell_length_a 2.9269
_cell_length_b 9.1094
_cell_length_c 10.4874
_cell_angle_alpha 90.00
_cell_angle_beta 90.00
_cell_angle_gamma 90.00
loop_
_atom_site_label
_atom_site_type_symbol
_atom_site_fract_x
_atom_site_fract_y
_atom_site_fract_z
O1 O 0.2500 0.6098 0.0341
O2 O 0.2500 0.9164 0.0658
O3 O 0.7500 0.3902 0.9659
O4 O 0.7500 0.8113 0.8476
O5 O 0.2500 0.5685 0.7812
O6 O 0.2500 0.4164 0.4342
O7 O 0.2500 0.0685 0.7188
O8 O 0.2500 0.1098 0.4659
O9 O 0.7500 0.4315 0.2188
O10 O 0.7500 0.5836 0.5658
O11 O 0.2500 0.6887 0.3476
O12 O 0.7500 0.3113 0.6524
O13 O 0.7500 0.0836 0.9342
O14 O 0.2500 0.1887 0.1524
O15 O 0.7500 0.8902 0.5341
O16 O 0.7500 0.9315 0.2812
Fe1 Fe 0.7500 0.7532 0.6711
Fe2 Fe 0.7500 0.2532 0.8289
Fe3 Fe 0.2500 0.2468 0.3289
Fe4 Fe 0.2500 0.7468 0.1711
Cr1 Cr 0.2500 0.9032 0.4048
Cr2 Cr 0.7500 0.5968 0.9048
Cr3 Cr 0.7500 0.0482 0.1189
Cr4 Cr 0.2500 0.9518 0.8811
Cr5 Cr 0.7500 0.0968 0.5952
Cr6 Cr 0.7500 0.5482 0.3811
Cr7 Cr 0.2500 0.4032 0.0952
Cr8 Cr 0.2500 0.4518 0.6189
```

#b
The following is a GGA-PBEsol calculation of a relaxed structure of Cr2FeO4, from Alexandria.

## Properties
Total moment, μB per atom: 1.434
SG: Fd-3m, No. 227

```
data_Cr2FeO4
_space_group_name_H-M_alt 'P 1'
_space_group_IT_number 1
_space_group_name_Hall 'P 1'
_cell_length_a 5.8879
_cell_length_b 5.8879
_cell_length_c 5.8879
_cell_angle_alpha 90.01
_cell_angle_beta 119.99
_cell_angle_gamma 119.99
loop_
_atom_site_label
_atom_site_type_symbol
_atom_site_fract_x
_atom_site_fract_y
_atom_site_fract_z
Fe1 Fe 0.0000 0.0000 0.0000
Fe2 Fe 0.5000 0.7500 0.2500
O1 O 0.2726 0.1362 0.4088
O2 O 0.7274 0.1362 0.8636
O3 O 0.7726 0.6138 0.3863
O4 O 0.7726 0.1588 0.3862
O5 O 0.7274 0.5912 0.8638
O6 O 0.2275 0.6137 0.3862
O7 O 0.2726 0.1363 0.8638
O8 O 0.2274 0.6138 0.8412
Cr1 Cr 0.7500 0.3750 0.6250
Cr2 Cr 0.7500 0.3750 0.1250
Cr3 Cr 0.2500 0.8750 0.6250
Cr4 Cr 0.2500 0.3750 0.6250
```

#b is the most stable structure; the next one sits 0.032 eV/atom above it.